[1]
An optimized crystal structure of KMn2InI8, computed with GGA-PBE.

**Energy relative to the elements, uncorrected**: -0.51 eV per atom
**Size of the total moment**: 0.83 μB per atom
**Space-group type**: P-1, No. 2

abc: 7.0226 7.4218 8.8837
angles: 89.92 89.92 87.94
Last column: nearest neighbours and their distance in Å.
Fractional positions:
K (0.0000, 0.0000, 0.0000)  6 I 3.27-3.41
Mn (0.4995, 0.5000, 0.2521)  6 I 2.89-3.00
Mn (0.5005, 0.5000, 0.7479)  6 I 2.89-3.00
In (0.0000, 0.0000, 0.5000)  6 I 2.95-3.25
I (0.2596, 0.8321, 0.7251)  1 Mn 2.95, 1 In 2.95, 1 K 3.27
I (0.2605, 0.8329, 0.2747)  1 Mn 2.94, 1 In 2.95, 1 K 3.27
I (0.2634, 0.3509, 0.5000)  2 Mn 2.99-3.00, 1 In 3.25
I (0.2918, 0.3578, 0.0000)  2 Mn 2.89-2.90
I (0.7082, 0.6422, 0.0000)  2 Mn 2.89-2.90
I (0.7366, 0.6491, 0.5000)  2 Mn 2.99-3.00, 1 In 3.25
I (0.7395, 0.1671, 0.7253)  1 Mn 2.94, 1 In 2.95, 1 K 3.27
I (0.7404, 0.1679, 0.2749)  1 Mn 2.95, 1 In 2.95, 1 K 3.27

---

[2]
An optimized crystal structure of TmZr5Os6, computed with GGA-PBE.

**Energy of formation from the pure elements**: -489 meV/atom
**Size of the total moment**: 0.00 μB per atom
**Space-group type**: Cmmm, No. 65

abc: 7.3828 7.3828 6.5900
angles: 90.00 90.00 143.17
Last column: nearest neighbours and their distance in Å.
Fractional positions:
Tm (0.0000, 0.0000, 0.0000)  8 Os 2.88-2.89
Zr (0.0000, 0.0000, 0.5000)  8 Os 2.83-2.88
Zr (0.3334, 0.6666, 0.5000)  8 Os 2.82-2.85
Zr (0.3338, 0.6662, 0.0000)  8 Os 2.84-2.87
Zr (0.6662, 0.3338, 0.0000)  8 Os 2.84-2.87
Zr (0.6666, 0.3334, 0.5000)  8 Os 2.82-2.85
Os (0.1691, 0.8309, 0.2523)  7 Zr 2.82-2.88, 1 Tm 2.89
Os (0.1691, 0.8309, 0.7477)  7 Zr 2.82-2.88, 1 Tm 2.89
Os (0.5000, 0.5000, 0.2558)  6 Zr 2.83-2.87, 2 Tm 2.88
Os (0.5000, 0.5000, 0.7442)  6 Zr 2.83-2.87, 2 Tm 2.88
Os (0.8309, 0.1691, 0.2523)  7 Zr 2.82-2.88, 1 Tm 2.89
Os (0.8309, 0.1691, 0.7477)  7 Zr 2.82-2.88, 1 Tm 2.89

---

[3]
An optimized crystal structure of NdSmDyMg, computed with GGA-PBE.

**Energy of formation from the pure elements**: -32 meV/atom
**Polymorph energy (0 for the lowest one)**: 0.00 eV/f.u.
**Size of the total moment**: 0.00 μB per atom
**Space-group type**: P4mm, No. 99

abc: 3.6774 3.6774 9.1687
angles: 90.00 90.00 90.00
Last column: nearest neighbours and their distance in Å.
Fractional positions:
Nd (0.0000, 0.0000, 0.0000)  4 Dy 3.59, 4 Sm 3.63, 4 Nd 3.68
Sm (0.5000, 0.5000, 0.7239)  4 Mg 3.36, 4 Nd 3.63, 4 Sm 3.68
Dy (0.5000, 0.5000, 0.2695)  4 Mg 3.30, 4 Nd 3.59, 4 Dy 3.68
Mg (0.0000, 0.0000, 0.4919)  4 Dy 3.30, 4 Sm 3.36, 4 Mg 3.68

---

[4]
An optimized crystal structure of In2SbRuSe, computed with GGA-PBE.

**Energy relative to the elements, uncorrected**: 1.22 eV per atom
**Size of the total moment**: 0.54 μB per atom
**Space-group type**: P4/mmm, No. 123

abc: 5.6376 5.6376 5.3087
angles: 90.00 90.00 90.00
Last column: nearest neighbours and their distance in Å.
Fractional positions:
In (0.0000, 0.5000, 0.0000)  2 Sb 2.82
In (0.5000, 0.0000, 0.0000)  2 Sb 2.82
Sb (0.0000, 0.0000, 0.0000)  2 Se 2.65, 4 In 2.82
Ru (0.5000, 0.5000, 0.5000)  8 In 3.87, 4 Se 3.99
Se (0.0000, 0.0000, 0.5000)  2 Sb 2.65

---

[5]
An optimized crystal structure of CoIr3Pt, computed with GGA-PBE.

**Energy of formation from the pure elements**: 1491 meV/atom
**Polymorph energy (0 for the lowest one)**: 0.00 eV/f.u.
**Size of the total moment**: 0.77 μB per atom
**Space-group type**: Pm-3m, No. 221

abc: 4.4132 4.4132 4.4132
angles: 90.00 90.00 90.00
Last column: nearest neighbours and their distance in Å.
Fractional positions:
Co (0.0000, 0.0000, 0.0000)  6 Ir 2.21
Ir (0.0000, 0.0000, 0.5000)  2 Co 2.21
Ir (0.0000, 0.5000, 0.0000)  2 Co 2.21
Ir (0.5000, 0.0000, 0.0000)  2 Co 2.21
Pt (0.5000, 0.5000, 0.5000)  12 Ir 3.12

---

[6]
An optimized crystal structure of Ag2WN, computed with GGA-PBE.

**Polymorph energy (0 for the lowest one)**: 4.40 eV/f.u.
**Energy relative to the elements, uncorrected**: 2.03 eV per atom
**Size of the total moment**: 0.17 μB per atom
**Space-group type**: Fm-3m, No. 225

abc: 4.4372 4.4372 4.4372
angles: 60.00 60.00 60.00
Last column: nearest neighbours and their distance in Å.
Fractional positions:
Ag (0.2500, 0.2500, 0.2500)  4 W 2.72, 4 N 2.72
Ag (0.7500, 0.7500, 0.7500)  4 W 2.72, 4 N 2.72
W (0.0000, 0.0000, 0.0000)  8 Ag 2.72
N (0.5000, 0.5000, 0.5000)  8 Ag 2.72

---

[7]
An optimized crystal structure of Tl2Sn3Te4, computed with GGA-PBE.

**Polymorph energy (0 for the lowest one)**: 0.37 eV/f.u.
**Energy relative to the elements, uncorrected**: -0.22 eV per atom
**Size of the total moment**: 0.00 μB per atom
**Space-group type**: Cmce, No. 64

abc: 9.2052 9.2052 8.7660
angles: 90.00 90.00 122.58
Last column: nearest neighbours and their distance in Å.
Fractional positions:
Tl (0.0980, 0.9020, 0.9249)  5 Te 3.38-3.75, 1 Tl 3.43
Tl (0.4019, 0.5980, 0.4249)  5 Te 3.38-3.75, 1 Tl 3.43
Tl (0.5980, 0.4019, 0.5751)  5 Te 3.38-3.75, 1 Tl 3.43
Tl (0.9020, 0.0980, 0.0751)  5 Te 3.38-3.75, 1 Tl 3.43
Sn (0.0000, 0.0000, 0.5000)  6 Te 3.16-3.24
Sn (0.0304, 0.4696, 0.7500)  5 Te 2.98-3.29
Sn (0.4696, 0.0304, 0.2500)  5 Te 2.98-3.29
Sn (0.5000, 0.5000, 0.0000)  6 Te 3.16-3.24
Sn (0.5304, 0.9696, 0.7500)  5 Te 2.98-3.29
Sn (0.9696, 0.5304, 0.2500)  5 Te 2.98-3.29
Te (0.2001, 0.7999, 0.5260)  5 Sn 3.23-3.29, 1 Tl 3.38
Te (0.2152, 0.2848, 0.7500)  3 Sn 2.98-3.16
Te (0.2848, 0.2152, 0.2500)  3 Sn 2.98-3.16
Te (0.2999, 0.7001, 0.0260)  5 Sn 3.23-3.29, 1 Tl 3.38
Te (0.7001, 0.2999, 0.9740)  5 Sn 3.23-3.29, 1 Tl 3.38
Te (0.7152, 0.7848, 0.7500)  3 Sn 2.98-3.16
Te (0.7848, 0.7152, 0.2500)  3 Sn 2.98-3.16
Te (0.7999, 0.2001, 0.4740)  5 Sn 3.23-3.29, 1 Tl 3.38

---

[8]
An optimized crystal structure of Sc2Be2SiIr5, computed with GGA-PBE.

**Energy relative to the elements, uncorrected**: -0.89 eV per atom
**Size of the total moment**: 0.00 μB per atom
**Space-group type**: P4/mbm, No. 127

abc: 9.4851 9.4851 3.0452
angles: 90.00 90.00 90.00
Last column: nearest neighbours and their distance in Å.
Fractional positions:
Sc (0.1747, 0.3253, 0.0000)  3 Be 2.69-2.88, 10 Ir 2.79-2.98
Sc (0.3253, 0.8253, 0.0000)  3 Be 2.69-2.88, 10 Ir 2.79-2.98
Sc (0.6747, 0.1747, 0.0000)  3 Be 2.69-2.88, 10 Ir 2.79-2.98
Sc (0.8253, 0.6747, 0.0000)  3 Be 2.69-2.88, 10 Ir 2.79-2.98
Be (0.1246, 0.6246, 0.0000)  6 Ir 2.26-2.29
Be (0.3754, 0.1246, 0.0000)  6 Ir 2.26-2.29
Be (0.6246, 0.8754, 0.0000)  6 Ir 2.26-2.29
Be (0.8754, 0.3754, 0.0000)  6 Ir 2.26-2.29
Si (0.0000, 0.0000, 0.0000)  8 Ir 2.55
Si (0.5000, 0.5000, 0.0000)  8 Ir 2.55
Ir (0.0000, 0.5000, 0.5000)  4 Be 2.26
Ir (0.0668, 0.7949, 0.5000)  2 Be 2.29, 2 Si 2.55
Ir (0.2051, 0.0668, 0.5000)  2 Be 2.29, 2 Si 2.55
Ir (0.2949, 0.5668, 0.5000)  2 Be 2.29, 2 Si 2.55
Ir (0.4332, 0.2949, 0.5000)  2 Be 2.29, 2 Si 2.55
Ir (0.5000, 0.0000, 0.5000)  4 Be 2.26
Ir (0.5668, 0.7051, 0.5000)  2 Be 2.29, 2 Si 2.55
Ir (0.7051, 0.4332, 0.5000)  2 Be 2.29, 2 Si 2.55
Ir (0.7949, 0.9332, 0.5000)  2 Be 2.29, 2 Si 2.55
Ir (0.9332, 0.2051, 0.5000)  2 Be 2.29, 2 Si 2.55